Record 1
## NdTcP (PBE-GGA)

Data for a relaxed structure of NdTcP.

- ΔH_f (0 K) (eV/atom) = -0.626
- polymorph energy (0 for the lowest one) (kcal/mol of atoms) = 0.00
- space group = P-6m2, No. 187

Cell and atoms, written as POSCAR:
```
NdTcP
1.0
4.054 0.000 0.000
-2.027 3.511 0.000
0.000 0.000 4.374
Nd Tc P
1 1 1
direct
0.000 0.000 0.000
0.667 0.333 0.500
0.333 0.667 0.500
```

Record 2
## Nd6TeP5 (PBE-GGA)

Data for a relaxed structure of Nd6TeP5.

- space group = C2/m, No. 12
- uncorrected formation energy (kJ/mol of formula units) = -1792

Cell and atoms, written as POSCAR:
```
Nd6TeP5
1.0
3.665 -6.335 0.000
3.665 6.335 0.000
-2.448 0.000 6.892
Nd Te P
6 1 5
direct
0.063 0.413 0.741
0.236 0.236 0.259
0.413 0.063 0.741
0.587 0.937 0.259
0.764 0.764 0.741
0.937 0.587 0.259
0.500 0.500 0.000
0.000 0.000 0.500
0.167 0.833 0.000
0.337 0.663 0.500
0.663 0.337 0.500
0.833 0.167 0.000
```

So what do the calculations give for DOS(E_F)? Going down the list: 1.204, 0.279 states/eV per atom.